1.
The following is a DFT calculation (PBE) of Np2MnRu after structural relaxation.

Output
energy relative to the lowest polymorph listed for this composition = 242 meV per atom

Geometry as POSCAR:
```
Np2MnRu
1.0
1.444 0.834 9.432
-1.444 0.834 9.432
0.000 -1.667 9.432
Np Mn Ru
2 1 1
Direct
0.083 0.083 0.083
0.917 0.917 0.917
0.000 0.000 0.000
0.500 0.500 0.500
```

=====

2.
The following is a DFT calculation (PBE) of NpMnRu after structural relaxation.

Output
energy relative to the lowest polymorph listed for this composition = 1 meV per atom

Geometry as POSCAR:
```
NpMnRu
1.0
-1.823 1.823 3.804
1.823 -1.823 3.804
1.823 1.823 -3.804
Np Mn Ru
1 1 1
Direct
0.000 0.000 0.000
0.712 0.712 0.000
0.319 0.319 0.000
```

=====

| no. | ρ (Mg/m³) | energy relative to the elements (eV per atom) |
| --- | --- | --- |
| 1 | 15.36 | 0.42 |
| 2 | 12.91 | 0.15 |